Density functional theory data (PBE) for a geometry-optimized CeNd2Ru structure.

Cell lengths 3.830, 6.436, 9.892 Å; angles 90.00, 90.00, 107.26 degrees
Positions (direct):
Ce 0.410 0.820 0.250
Ce 0.590 0.180 0.750
Nd 0.143 0.284 0.432
Nd 0.857 0.716 0.568
Nd 0.857 0.716 0.932
Nd 0.143 0.284 0.068
Ru 0.774 0.549 0.250
Ru 0.226 0.451 0.750

Computed properties:
- Energy of formation from the pure elements: -0.2105 eV per atom
- Total DFT energy (no corrections): -6.40 eV per atom
- Magnetic moment: 0.00 μB per atom
- Space group: Cmcm